Crystalline Dy6YHo5 at its relaxed geometry, computed with PBE-GGA.

Geometry as extended XYZ:
```
12
Lattice="0.0992 5.9871 -1.3092 -2.2343 4.0518 4.0121 10.4474 2.8804 4.4597" Properties=species:S:1:pos:R:3 pbc="T T T"
Ho 4.5617 7.7800 2.4761
Ho 3.7506 5.1393 4.6866
Dy 7.9045 6.6426 2.3621
Dy 2.6421 2.2249 0.7885
Ho 5.2733 4.4337 1.5753
Y 0.0000 0.0000 0.0000
Dy 1.2203 8.9103 2.5886
Dy 1.9288 5.5656 1.6942
Dy 7.0920 4.0090 4.5741
Ho -1.4234 6.6926 1.8021
Ho -0.7116 3.3463 0.9009
Dy 6.3836 7.3537 5.4684
```

Summary:
Total magnetization: 0.000 Bohr magnetons per cell
Raw total energy: -4.729 eV per atom

Crystalline Dy3Y4Ho4 at its relaxed geometry, computed with PBE-GGA.

Geometry as extended XYZ:
```
11
Lattice="-1.5824 2.6681 -1.6159 -2.9086 1.0956 4.6562 10.6178 12.8304 6.9903" Properties=species:S:1:pos:R:3 pbc="T T T"
Y -1.3745 4.4079 4.8335
Y 2.3808 9.6121 5.9632
Ho 7.1974 13.7162 8.0135
Ho 0.9409 6.3769 5.8212
Ho 5.1858 10.2172 4.2095
Dy 5.6490 10.3888 7.8254
Y 7.5012 12.1863 5.1972
Dy -0.0001 0.0000 0.0000
Ho -1.0707 2.8779 2.0173
Dy 0.4776 6.2054 2.2054
Y 3.7458 6.9820 4.0675
```

Summary:
Total magnetization: 0.002 Bohr magnetons per cell
Raw total energy: -5.209 eV per atom